No. 1
Ce7Ge5Sb: optimized geometry, PBE-GGA.

Output
Energy (eV per atom): -5.853
Magnetic moment (Bohr magnetons per cell): 5.64
ΔE_f (raw) (eV/f.u.): -7.34

Cell: 6.105 8.021 8.021 Å, 84.23 67.63 67.63°
Atoms (fractional coordinates):
Ce  0.660  0.340  0.340
Ce  0.278  0.722  0.722
Ce  0.979  0.329  0.713
Ce  0.979  0.713  0.329
Ce  0.321  0.179  0.179
Ce  0.530  0.806  0.133
Ce  0.530  0.133  0.806
Ge  0.461  0.017  0.495
Ge  0.028  0.017  0.495
Ge  0.461  0.495  0.017
Ge  0.028  0.495  0.017
Ge  0.770  0.730  0.730
Sb  0.975  0.025  0.025

---

No. 2
Ce2Sc2GeSb2: optimized geometry, PBE-GGA.

Output
Energy (eV per atom): -6.023
Magnetic moment (Bohr magnetons per cell): 3.55
ΔE_f (raw) (eV/f.u.): -4.77

Cell: 4.921 4.921 8.944 Å, 105.97 105.97 90.00°
Atoms (fractional coordinates):
Ce  0.174  0.174  0.348
Ce  0.826  0.826  0.652
Sc  0.000  0.500  0.000
Sc  0.500  0.000  0.000
Ge  0.000  0.000  0.000
Sb  0.373  0.373  0.745
Sb  0.627  0.627  0.255

---

No. 3
Ce4GeSbSe2: optimized geometry, PBE-GGA.

Output
Energy (eV per atom): -6.278
Magnetic moment (Bohr magnetons per cell): 3.51
ΔE_f (raw) (eV/f.u.): -10.78

Cell: 4.308 7.388 7.489 Å, 70.39 90.00 90.00°
Atoms (fractional coordinates):
Ce  0.000  0.759  0.738
Ce  0.000  0.241  0.262
Ce  0.500  0.751  0.259
Ce  0.500  0.249  0.741
Ge  0.000  0.500  0.500
Sb  0.500  0.500  0.000
Se  0.000  0.000  0.000
Se  0.500  0.000  0.500

---

No. 4
Ce6Ge2Sb3Se: optimized geometry, PBE-GGA.

Output
Energy (eV per atom): -6.113
Magnetic moment (Bohr magnetons per cell): 4.14
ΔE_f (raw) (eV/f.u.): -12.67

Cell: 4.359 8.738 9.773 Å, 103.39 102.89 90.00°
Atoms (fractional coordinates):
Ce  0.336  0.906  0.672
Ce  0.670  0.573  0.341
Ce  0.664  0.094  0.328
Ce  0.005  0.243  0.009
Ce  0.995  0.757  0.991
Ce  0.330  0.427  0.659
Ge  0.834  0.668  0.668
Ge  0.166  0.332  0.332
Sb  0.500  0.500  0.000
Sb  0.834  0.167  0.669
Sb  0.166  0.833  0.331
Se  0.500  0.000  0.000

---

No. 5
Ce4GeSbTe2: optimized geometry, PBE-GGA.

Output
Energy (eV per atom): -5.993
Magnetic moment (Bohr magnetons per cell): 3.78
ΔE_f (raw) (eV/f.u.): -9.18

Cell: 4.441 7.695 7.706 Å, 70.56 90.00 90.00°
Atoms (fractional coordinates):
Ce  0.000  0.738  0.743
Ce  0.000  0.262  0.257
Ce  0.500  0.731  0.266
Ce  0.500  0.269  0.734
Ge  0.000  0.500  0.500
Sb  0.500  0.500  0.000
Te  0.000  0.000  0.000
Te  0.500  0.000  0.500

---

No. 6
Ce4GeSb2Te: optimized geometry, PBE-GGA.

Output
Energy (eV per atom): -6.013
Magnetic moment (Bohr magnetons per cell): 3.17
ΔE_f (raw) (eV/f.u.): -8.37

Cell: 4.437 7.677 7.683 Å, 70.55 90.00 90.00°
Atoms (fractional coordinates):
Ce  0.000  0.746  0.741
Ce  0.000  0.254  0.259
Ce  0.500  0.739  0.264
Ce  0.500  0.261  0.736
Ge  0.000  0.500  0.500
Sb  0.000  0.000  0.000
Sb  0.500  0.000  0.500
Te  0.500  0.500  0.000

---

No. 7
Ce6Ge2SbTe3: optimized geometry, PBE-GGA.

Output
Energy (eV per atom): -5.986
Magnetic moment (Bohr magnetons per cell): 1.93
ΔE_f (raw) (eV/f.u.): -13.45

Cell: 4.396 8.894 9.884 Å, 102.93 102.85 90.00°
Atoms (fractional coordinates):
Ce  0.333  0.899  0.665
Ce  0.672  0.570  0.344
Ce  0.667  0.101  0.335
Ce  0.008  0.252  0.015
Ce  0.992  0.748  0.985
Ce  0.328  0.430  0.656
Ge  0.832  0.666  0.665
Ge  0.168  0.334  0.335
Sb  0.500  0.000  0.000
Te  0.500  0.500  0.000
Te  0.836  0.167  0.673
Te  0.164  0.833  0.327

---

No. 8
Ce5ScGe4: optimized geometry, PBE-GGA.

Output
Energy (eV per atom): -5.931
Magnetic moment (Bohr magnetons per cell): 4.84
Formation enthalpy at 0 K (eV per atom): -0.484

Cell: 5.052 6.606 10.331 Å, 127.61 104.15 90.00°
Atoms (fractional coordinates):
Ce  0.829  0.671  0.657
Ce  0.839  0.186  0.678
Ce  0.161  0.814  0.322
Ce  0.500  0.500  0.000
Ce  0.171  0.329  0.343
Sc  0.500  0.000  0.000
Ge  0.332  0.915  0.663
Ge  0.994  0.766  0.988
Ge  0.668  0.085  0.337
Ge  0.006  0.234  0.012

---

No. 9
CeSc2Ge4: optimized geometry, PBE-GGA.

Output
Energy (eV per atom): -5.992
Magnetic moment (Bohr magnetons per cell): 0.58
Formation enthalpy at 0 K (eV per atom): -0.697

Cell: 3.935 4.118 9.356 Å, 102.71 102.14 90.00°
Atoms (fractional coordinates):
Ce  0.500  0.000  0.000
Sc  0.818  0.818  0.635
Sc  0.182  0.182  0.365
Ge  0.664  0.664  0.328
Ge  0.336  0.336  0.672
Ge  0.070  0.570  0.140
Ge  0.930  0.430  0.860

---

No. 10
CeSc2Ge: optimized geometry, PBE-GGA.

Output
Energy (eV per atom): -6.171
Magnetic moment (Bohr magnetons per cell): 0.00
E above lowest polymorph (meV/atom): 0.0
Formation enthalpy at 0 K (eV per atom): -0.367

Cell: 4.265 4.524 4.524 Å, 90.00 90.00 90.00°
Atoms (fractional coordinates):
Sc  0.000  0.000  0.500
Sc  0.000  0.500  0.000
Ge  0.500  0.000  0.000
Ce  0.500  0.500  0.500

---

No. 11
CeScGe2: optimized geometry, PBE-GGA.

Output
Energy (eV per atom): -5.972
Magnetic moment (Bohr magnetons per cell): 0.12
Formation enthalpy at 0 K (eV per atom): -0.597

Cell: 4.063 4.570 4.570 Å, 90.00 90.00 90.00°
Atoms (fractional coordinates):
Sc  0.500  0.000  0.000
Ge  0.000  0.000  0.500
Ge  0.000  0.500  0.000
Ce  0.500  0.500  0.500

---

No. 12
CeSc2Ge: optimized geometry, PBE-GGA.

Output
Energy (eV per atom): -5.999
Magnetic moment (Bohr magnetons per cell): 0.01
E above lowest polymorph (meV/atom): 171.2
Formation enthalpy at 0 K (eV per atom): -0.196

Cell: 3.274 3.274 10.015 Å, 80.59 80.59 60.00°
Atoms (fractional coordinates):
Sc  0.259  0.259  0.223
Sc  0.741  0.741  0.777
Ge  0.000  0.000  0.000
Ce  0.500  0.500  0.500

---

No. 13
CeScGe2: optimized geometry, PBE-GGA.

Output
Energy (eV per atom): -6.088
Magnetic moment (Bohr magnetons per cell): 0.51
Formation enthalpy at 0 K (eV per atom): -0.713

Cell: 4.252 3.955 5.701 Å, 90.00 111.89 90.00°
Atoms (fractional coordinates):
Ce  0.445  0.500  0.429
Sc  0.718  0.000  0.974
Ge  0.170  0.500  0.879
Ge  0.998  0.000  0.536

---

No. 14
Ce3Sc2Ge3: optimized geometry, PBE-GGA.

Output
Energy (eV per atom): -6.175
Magnetic moment (Bohr magnetons per cell): 7.40
Formation enthalpy at 0 K (eV per atom): -0.635

Cell: 6.083 8.525 8.525 Å, 120.00 90.00 90.00°
Atoms (fractional coordinates):
Ce  0.750  0.250  0.000
Ce  0.750  0.750  0.750
Ce  0.750  0.000  0.250
Ce  0.250  0.750  0.000
Ce  0.250  0.250  0.250
Ce  0.250  0.000  0.750
Sc  0.000  0.333  0.667
Sc  0.500  0.667  0.333
Sc  0.000  0.667  0.333
Sc  0.500  0.333  0.667
Ge  0.750  0.602  0.000
Ge  0.750  0.398  0.398
Ge  0.750  0.000  0.602
Ge  0.250  0.398  0.000
Ge  0.250  0.602  0.602
Ge  0.250  0.000  0.398

---

No. 15
Ce5ScGe5: optimized geometry, PBE-GGA.

Output
Energy (eV per atom): -5.895
Magnetic moment (Bohr magnetons per cell): 1.67
Formation enthalpy at 0 K (eV per atom): -0.523

Cell: 5.885 7.211 8.212 Å, 106.74 90.00 114.08°
Atoms (fractional coordinates):
Ce  0.667  0.334  0.333
Ce  0.663  0.326  0.829
Ce  0.000  0.000  0.500
Ce  0.337  0.674  0.171
Ce  0.333  0.666  0.667
Sc  0.000  0.000  0.000
Ge  0.835  0.671  0.162
Ge  0.837  0.673  0.672
Ge  0.500  0.000  0.000
Ge  0.163  0.327  0.328
Ge  0.165  0.329  0.838

---

No. 16
Ce3ScGe3: optimized geometry, PBE-GGA.

Output
Energy (eV per atom): -5.947
Magnetic moment (Bohr magnetons per cell): 4.23
Formation enthalpy at 0 K (eV per atom): -0.520

Cell: 7.399 7.399 7.501 Å, 92.22 92.22 113.85°
Atoms (fractional coordinates):
Ce  0.609  0.609  0.366
Ce  0.164  0.836  0.500
Ce  0.836  0.164  0.500
Ce  0.233  0.767  0.000
Ce  0.767  0.233  0.000
Ce  0.391  0.391  0.634
Sc  0.758  0.758  0.903
Sc  0.242  0.242  0.097
Ge  0.934  0.934  0.219
Ge  0.850  0.512  0.699
Ge  0.512  0.850  0.699
Ge  0.150  0.488  0.301
Ge  0.488  0.150  0.301
Ge  0.066  0.066  0.781

---

No. 17
CeSc2Ge2: optimized geometry, PBE-GGA.

Output
Energy (eV per atom): -6.129
Magnetic moment (Bohr magnetons per cell): 5.19
Formation enthalpy at 0 K (eV per atom): -0.563

Cell: 4.023 5.086 11.411 Å, 96.35 90.00 90.00°
Atoms (fractional coordinates):
Ce  0.250  0.684  0.244
Ce  0.750  0.316  0.756
Sc  0.250  0.841  0.897
Sc  0.750  0.159  0.103
Sc  0.250  0.254  0.514
Sc  0.750  0.746  0.486
Ge  0.250  0.789  0.656
Ge  0.750  0.211  0.344
Ge  0.250  0.343  0.963
Ge  0.750  0.657  0.037

---

No. 18
CeScGe2: optimized geometry, PBE-GGA.

Output
Energy (eV per atom): -6.055
Magnetic moment (Bohr magnetons per cell): 0.00
Formation enthalpy at 0 K (eV per atom): -0.680

Cell: 4.495 4.495 5.802 Å, 67.21 67.21 60.00°
Atoms (fractional coordinates):
Sc  0.500  0.500  0.500
Ge  0.763  0.763  0.711
Ge  0.237  0.237  0.289
Ce  0.000  0.000  0.000

---

No. 19
CeScGe2: optimized geometry, PBE-GGA.

Output
Energy (eV per atom): -6.018
Magnetic moment (Bohr magnetons per cell): 1.29
Formation enthalpy at 0 K (eV per atom): -0.643

Cell: 3.662 3.662 6.338 Å, 90.00 90.00 90.00°
Atoms (fractional coordinates):
Sc  0.500  0.500  0.000
Ge  0.000  0.000  0.791
Ge  0.000  0.000  0.209
Ce  0.500  0.500  0.500

---

No. 20
CeScTcGe2: optimized geometry, PBE-GGA.

Output
Energy (eV per atom): -6.980
Magnetic moment (Bohr magnetons per cell): 0.81
Formation enthalpy at 0 K (eV per atom): -0.607

Cell: 4.088 4.088 6.604 Å, 108.03 108.03 90.00°
Atoms (fractional coordinates):
Ce  0.000  0.000  0.000
Sc  0.250  0.750  0.500
Tc  0.750  0.250  0.500
Ge  0.606  0.606  0.212
Ge  0.394  0.394  0.788